BeZnGe2O6: relaxed, PBE.

Geometry as POSCAR:
```
BeZnGe2O6
1.0
4.9754 -4.8349 0.0000
4.9754 4.8349 0.0000
-2.0955 0.0000 4.8670
Be Zn Ge O
2 2 4 12
direct
0.1921 0.8079 0.7500
0.8079 0.1921 0.2500
0.1290 0.8710 0.2500
0.8710 0.1290 0.7500
0.2150 0.3973 0.3043
0.3973 0.2150 0.8043
0.6027 0.7850 0.1957
0.7850 0.6027 0.6957
0.0158 0.2051 0.1549
0.1535 0.6422 0.4465
0.2051 0.0158 0.6549
0.3018 0.4099 0.0247
0.3578 0.8465 0.0535
0.4099 0.3018 0.5247
0.5901 0.6982 0.4753
0.6422 0.1535 0.9465
0.6982 0.5901 0.9753
0.7949 0.9842 0.3451
0.8465 0.3578 0.5535
0.9842 0.7949 0.8451
```

As for the raw formation energy: -1.7886 eV per atom. The space group is No. 15.

=====

Be2ZnGeO: relaxed, PBE.

Geometry as POSCAR:
```
Be2ZnGeO
1.0
4.3011 0.0000 0.0000
0.0000 4.3011 0.0000
0.0000 0.0000 4.0815
Be Zn Ge O
2 1 1 1
direct
0.0000 0.5000 0.0000
0.5000 0.0000 0.0000
0.0000 0.0000 0.5000
0.5000 0.5000 0.0000
0.5000 0.5000 0.5000
```

As for the raw formation energy: 0.4794 eV per atom. The space group is No. 123.

=====

Be2Zn2GeO6: relaxed, PBE.

Geometry as POSCAR:
```
Be2Zn2GeO6
1.0
4.9852 0.0000 0.0000
-2.4926 4.3173 0.0000
0.0000 0.0000 6.1082
Be Zn Ge O
2 2 1 6
direct
0.3333 0.6667 0.3032
0.6667 0.3333 0.6968
0.3333 0.6667 0.7269
0.6667 0.3333 0.2731
0.0000 0.0000 0.5000
0.0496 0.7135 0.3121
0.2865 0.3361 0.3121
0.3361 0.0496 0.6879
0.6639 0.9504 0.3121
0.7135 0.6639 0.6879
0.9504 0.2865 0.6879
```

As for the raw formation energy: -1.7458 eV per atom. The space group is No. 147.

=====

Zr2BeGeO: relaxed, PBE.

Geometry as POSCAR:
```
Zr2BeGeO
1.0
4.3613 0.0000 0.0000
0.0000 4.3613 0.0000
0.0000 0.0000 4.3391
Zr Be Ge O
2 1 1 1
direct
0.0000 0.5000 0.0000
0.5000 0.0000 0.0000
0.0000 0.0000 0.5000
0.5000 0.5000 0.5000
0.5000 0.5000 0.0000
```

As for the raw formation energy: -0.5693 eV per atom. The space group is No. 123.

=====

BeGeOs: relaxed, PBE.

Geometry as POSCAR:
```
BeGeOs
1.0
3.1871 0.0000 0.0000
0.0000 3.1871 0.0000
0.0000 0.0000 7.6415
Be Ge Os
2 2 2
direct
0.2500 0.7500 0.0000
0.7500 0.2500 0.0000
0.2500 0.2500 0.3900
0.7500 0.7500 0.6100
0.2500 0.2500 0.7579
0.7500 0.7500 0.2421
```

The energy above the most stable polymorph in this dataset comes out at 0 meV per atom. As for the energy of formation from the pure elements: -0.3 eV per formula unit. The space group is No. 129.

=====

BeGe3Os: relaxed, PBE.

Geometry as POSCAR:
```
BeGe3Os
1.0
4.7935 0.0000 0.0000
0.0000 4.7935 0.0000
0.0000 0.0000 4.7935
Be Ge Os
1 3 1
direct
0.0000 0.0000 0.0000
0.0000 0.5000 0.5000
0.5000 0.0000 0.5000
0.5000 0.5000 0.0000
0.5000 0.5000 0.5000
```

The energy above the most stable polymorph in this dataset comes out at 0 meV per atom. As for the energy of formation from the pure elements: 4.2 eV per formula unit. The space group is No. 221.

=====

M_tot readings, ordered: 0.00; 0.00; 0.00; 0.00; 0.00; 0.00 μB per formula unit